The following is a PBE calculation of an optimized crystal structure of Pr4Nd3Y, from the Alexandria database.

Calculated values
spin magnetization: 0.00 μB per cell
volume: 35.5 Å³/atom
polymorph energy (0 for the lowest one): 0 meV/atom
DOS at the Fermi energy: 1.392 states/eV/atom
symmetry: C2/m, No. 12
energy of formation from the pure elements: 8.1 meV/atom

Cell: 12.513 12.513 6.407 Å, 104.81 104.81 17.02°
Positions (direct):
Pr 0.124 0.124 0.292
Pr 0.249 0.249 0.749
Pr 0.751 0.751 0.251
Pr 0.876 0.876 0.708
Nd 0.376 0.376 0.207
Nd 0.500 0.500 0.000
Nd 0.624 0.624 0.793
Y 0.000 0.000 0.500